No. 1
SiMo2Cl: relaxed, PBE.

a = 2.9133 Å, b = 2.9133 Å, c = 24.7957 Å
α = 90.00°, β = 90.00°, γ = 120.00°
Positions (direct):
1 Si 0.0000 0.0000 0.0000
2 Si 0.3333 0.6667 0.6667
3 Si 0.6667 0.3333 0.3333
4 Mo 0.0000 0.0000 0.2514
5 Mo 0.0000 0.0000 0.7486
6 Mo 0.3333 0.6667 0.4152
7 Mo 0.3333 0.6667 0.9181
8 Mo 0.6667 0.3333 0.0819
9 Mo 0.6667 0.3333 0.5848
10 Cl 0.0000 0.0000 0.5000
11 Cl 0.3333 0.6667 0.1667
12 Cl 0.6667 0.3333 0.8333

Values from the calculation:
volume = 182.3 Å³/cell
raw formation energy = 99 kJ/mol of formula units
space-group type = No. 166
energy above the lowest structure with this stoichiometry = 1.04 eV/f.u.

---

No. 2
Tb2CeAl3: relaxed, PBE.

a = 8.0815 Å, b = 8.0815 Å, c = 7.3778 Å
α = 90.00°, β = 90.00°, γ = 143.21°
Positions (direct):
1 Tb 0.0000 0.0000 0.0000
2 Tb 0.0000 0.0000 0.5000
3 Tb 0.3313 0.6687 0.0000
4 Tb 0.6687 0.3313 0.0000
5 Ce 0.3323 0.6677 0.5000
6 Ce 0.6677 0.3323 0.5000
7 Al 0.1637 0.8363 0.2424
8 Al 0.1637 0.8363 0.7576
9 Al 0.5000 0.5000 0.2430
10 Al 0.5000 0.5000 0.7570
11 Al 0.8363 0.1637 0.2424
12 Al 0.8363 0.1637 0.7576

Values from the calculation:
volume = 288.6 Å³/cell
space-group type = No. 65
energy relative to the elements = -347 meV per atom